{"formula": "Zr2ReP", "functional": "GGA-PBE", "state": "optimized geometry", "total_energy_ev_per_atom": -9.031, "magnetic_moment_mub_per_fu": 0.0, "spacegroup": "I4/mmm (139)", "volume_a3_per_atom": 17.66, "density_g_cm3": 9.394, "lattice": [[-2.159, 2.159, 3.789], [2.159, -2.159, 3.789], [2.159, 2.159, -3.789]], "species": ["Zr", "Zr", "Re", "P"], "fractional_positions": [[0.750, 0.250, 0.500], [0.250, 0.750, 0.500], [0.000, 0.000, 0.000], [0.500, 0.500, 0.000]]}